one.
VASP calculation (PBE) on NaTi2Cu2 after structural relaxation.

```
NaTi2Cu2
1.0
-3.307 4.896 5.190
1.393 -5.167 5.762
2.356 1.126 0.440
Ti Na Cu
4 2 4
direct
0.343 0.157 0.500 Ti
0.657 0.843 0.500 Ti
0.157 0.657 0.500 Ti
0.843 0.343 0.500 Ti
0.500 0.500 0.000 Na
0.000 0.000 0.000 Na
0.135 0.365 0.000 Cu
0.635 0.135 0.000 Cu
0.365 0.865 0.000 Cu
0.865 0.635 0.000 Cu
```

**Size of the total moment**: 0.000 μB per formula unit

two.
VASP calculation (PBE) on NaTi2Cu2 after structural relaxation.

```
NaTi2Cu2
1.0
7.986 0.000 0.000
0.000 7.986 0.000
0.000 0.000 2.601
Cu Ti Na
4 4 2
direct
0.667 0.833 0.500 Cu
0.833 0.333 0.500 Cu
0.167 0.667 0.500 Cu
0.333 0.167 0.500 Cu
0.627 0.127 0.000 Ti
0.873 0.627 0.000 Ti
0.373 0.873 0.000 Ti
0.127 0.373 0.000 Ti
0.500 0.500 0.000 Na
0.000 0.000 0.000 Na
```

**Size of the total moment**: 0.000 μB per formula unit

Stability ranking, top entry: two; the second entry is 6 meV per atom less favorable.

one.
VASP calculation (PBE) on NaTl3Cu after structural relaxation.

```
NaTl3Cu
1.0
-1.030 2.678 4.834
1.136 -4.709 2.851
5.408 1.499 0.322
Na Tl Cu
1 3 1
direct
0.000 0.000 0.000 Na
0.000 0.500 0.000 Tl
0.000 0.000 0.500 Tl
0.500 0.000 0.000 Tl
0.500 0.500 0.500 Cu
```

**Size of the total moment**: 0.000 μB per formula unit

two.
VASP calculation (PBE) on NaTl3Cu after structural relaxation.

```
NaTl3Cu
1.0
-3.522 -3.825 1.070
2.866 -1.458 4.223
-2.749 3.379 3.033
Tl Na Cu
3 1 1
direct
0.500 0.000 0.000 Tl
0.000 0.500 0.000 Tl
0.000 0.000 0.500 Tl
0.500 0.500 0.500 Na
0.000 0.000 0.000 Cu
```

**Size of the total moment**: 0.000 μB per formula unit

Stability ranking, top entry: two; the second entry is 604 meV per atom less favorable.

one.
VASP calculation (PBE) on Na2Tl2Cu after structural relaxation.

```
Na2Tl2Cu
1.0
7.436 0.000 0.000
0.000 7.436 0.000
0.000 0.000 4.841
Tl Na Cu
4 4 2
direct
0.829 0.329 0.500 Tl
0.171 0.671 0.500 Tl
0.671 0.829 0.500 Tl
0.329 0.171 0.500 Tl
0.145 0.355 0.000 Na
0.645 0.145 0.000 Na
0.855 0.645 0.000 Na
0.355 0.855 0.000 Na
0.000 0.000 0.000 Cu
0.500 0.500 0.000 Cu
```

**Size of the total moment**: 0.000 μB per formula unit

two.
VASP calculation (PBE) on Na2Tl2Cu after structural relaxation.

```
Na2Tl2Cu
1.0
-2.868 6.511 0.487
-2.761 -1.692 6.353
4.451 1.780 2.409
Na Tl Cu
4 4 2
direct
0.670 0.830 0.500 Na
0.330 0.170 0.500 Na
0.170 0.670 0.500 Na
0.830 0.330 0.500 Na
0.845 0.655 0.000 Tl
0.655 0.155 0.000 Tl
0.345 0.845 0.000 Tl
0.155 0.345 0.000 Tl
0.000 0.000 0.000 Cu
0.500 0.500 0.000 Cu
```

**Size of the total moment**: 0.000 μB per formula unit

Stability ranking, top entry: two; the second entry is 163 meV per atom less favorable.

one.
VASP calculation (PBE) on Na2V2Cu after structural relaxation.

```
Na2V2Cu
1.0
8.827 0.000 0.000
0.000 8.827 0.000
0.000 0.000 2.865
Cu Na V
2 4 4
direct
0.000 0.000 0.000 Cu
0.500 0.500 0.000 Cu
0.713 0.213 0.000 Na
0.213 0.287 0.000 Na
0.287 0.787 0.000 Na
0.787 0.713 0.000 Na
0.427 0.073 0.500 V
0.073 0.573 0.500 V
0.927 0.427 0.500 V
0.573 0.927 0.500 V
```

**Size of the total moment**: 0.000 μB per formula unit

two.
VASP calculation (PBE) on Na2V2Cu after structural relaxation.

```
Na2V2Cu
1.0
3.261 0.000 0.000
0.000 3.261 0.000
1.630 1.630 9.724
Na Cu V
2 1 2
direct
0.601 0.601 0.799 Na
0.399 0.399 0.201 Na
0.000 0.000 0.000 Cu
0.750 0.250 0.500 V
0.250 0.750 0.500 V
```

**Size of the total moment**: 0.001 μB per formula unit

Stability ranking, top entry: two; the second entry is 379 meV per atom less favorable.